6
Lattice="-3.380 -2.937 2.826 -0.155 -5.249 -0.679 1.819 -3.215 3.794" Properties=species:S:1:pos:R:3 comment="GGA-PBE PmPuCu4, optimized geometry" space_group=F-43m formation_energy_ev_per_atom=-0.034 total_magnetization_mub_per_fu=6.06 vol_a3_per_atom=17.494 e_above_lowest_polymorph_kj_per_mol_atoms=6.2 pbc="T T T"
Pm 0.000 0.000 0.000
Cu -1.979 -5.518 1.818
Cu -0.995 -4.503 4.050
Cu -1.072 -7.123 3.711
Cu 0.614 -5.657 2.301
Pu -0.429 -2.850 1.485